[1]
VASP calculation (GGA-PBE) on a relaxed NdYGa2Ru2 crystal.

a b c (Å): 4.3402 4.3402 7.5858
angles (deg): 90.00 90.00 120.00
Fractional coordinates of all 6 atoms:
Nd  0.0000  0.0000  0.0000
Y  0.0000  0.0000  0.5000
Ga  0.3333  0.6667  0.2659
Ga  0.6667  0.3333  0.7341
Ru  0.3333  0.6667  0.7405
Ru  0.6667  0.3333  0.2595

Output
* space-group type: P-3m1, No. 164
* calculated formation energy: -452.3 meV/atom
* spin magnetization: 0.00 Bohr magnetons per cell


[2]
VASP calculation (GGA-PBE) on a relaxed NdZn2GaRu2 crystal.

a b c (Å): 4.6108 4.6108 5.6052
angles (deg): 90.00 90.00 90.00
Fractional coordinates of all 6 atoms:
Nd  0.0000  0.0000  0.0000
Zn  0.5000  0.5000  0.2535
Zn  0.5000  0.5000  0.7465
Ga  0.0000  0.0000  0.5000
Ru  0.0000  0.5000  0.5000
Ru  0.5000  0.0000  0.5000

Output
* space-group type: P4/mmm, No. 123
* calculated formation energy: 3.8 meV/atom
* spin magnetization: 0.00 Bohr magnetons per cell


[3]
VASP calculation (GGA-PBE) on a relaxed NdZnGaRu crystal.

a b c (Å): 4.2875 4.2875 15.4259
angles (deg): 90.00 90.00 120.00
Fractional coordinates of all 12 atoms:
Nd  0.0000  0.0000  0.0000
Nd  0.3333  0.6667  0.6667
Nd  0.6667  0.3333  0.3333
Zn  0.0000  0.0000  0.7933
Zn  0.3333  0.6667  0.4600
Zn  0.6667  0.3333  0.1266
Ga  0.0000  0.0000  0.2102
Ga  0.3333  0.6667  0.8769
Ga  0.6667  0.3333  0.5435
Ru  0.0000  0.0000  0.5266
Ru  0.3333  0.6667  0.1933
Ru  0.6667  0.3333  0.8600

Output
* space-group type: R3m, No. 160
* calculated formation energy: -315.4 meV/atom
* spin magnetization: 0.00 Bohr magnetons per cell


[4]
VASP calculation (GGA-PBE) on a relaxed Nd4GaS2 crystal.

a b c (Å): 7.0420 7.0420 13.9585
angles (deg): 90.00 90.00 146.63
Fractional coordinates of all 14 atoms:
Nd  0.0000  0.0000  0.0000
Nd  0.0000  0.0000  0.5000
Nd  0.2727  0.7273  0.6197
Nd  0.2727  0.7273  0.8803
Nd  0.4386  0.5614  0.2500
Nd  0.5614  0.4386  0.7500
Nd  0.7273  0.2727  0.1197
Nd  0.7273  0.2727  0.3803
Ga  0.1062  0.8938  0.2500
Ga  0.8938  0.1062  0.7500
S  0.3635  0.6365  0.0613
S  0.3635  0.6365  0.4387
S  0.6365  0.3635  0.5613
S  0.6365  0.3635  0.9387

Output
* space-group type: Cmcm, No. 63
* total DFT energy (no corrections): -5.664 eV per atom
* spin magnetization: 0.48 Bohr magnetons per cell


[5]
VASP calculation (GGA-PBE) on a relaxed Nd9Ga5S21 crystal.

a b c (Å): 11.7522 11.7522 11.7522
angles (deg): 94.82 94.82 94.82
Fractional coordinates of all 70 atoms:
Nd  0.0169  0.6398  0.7918
Nd  0.0194  0.8022  0.1785
Nd  0.1164  0.4940  0.3440
Nd  0.1369  0.3617  0.9873
Nd  0.1785  0.0194  0.8022
Nd  0.3231  0.4716  0.6996
Nd  0.3440  0.1164  0.4940
Nd  0.3617  0.9873  0.1369
Nd  0.4572  0.8305  0.6876
Nd  0.4716  0.6996  0.3231
Nd  0.4940  0.3440  0.1164
Nd  0.6398  0.7918  0.0169
Nd  0.6876  0.4572  0.8305
Nd  0.6996  0.3231  0.4716
Nd  0.7918  0.0169  0.6398
Nd  0.8022  0.1785  0.0194
Nd  0.8305  0.6876  0.4572
Nd  0.9873  0.1369  0.3617
Ga  0.0219  0.3451  0.6880
Ga  0.1819  0.8496  0.5236
Ga  0.2189  0.2189  0.2189
Ga  0.3451  0.6880  0.0219
Ga  0.4190  0.4190  0.4190
Ga  0.5236  0.1819  0.8496
Ga  0.6880  0.0219  0.3451
Ga  0.7174  0.7174  0.7174
Ga  0.8496  0.5236  0.1819
Ga  0.9190  0.9190  0.9190
S  0.0174  0.2638  0.1638
S  0.0286  0.5616  0.1225
S  0.0621  0.7270  0.3998
S  0.0902  0.8451  0.9524
S  0.0923  0.5039  0.6068
S  0.1225  0.0286  0.5616
S  0.1638  0.0174  0.2638
S  0.1856  0.2723  0.7578
S  0.1926  0.2865  0.4222
S  0.2152  0.7870  0.7010
S  0.2267  0.5648  0.8975
S  0.2638  0.1638  0.0174
S  0.2723  0.7578  0.1856
S  0.2865  0.4222  0.1926
S  0.3345  0.5791  0.4777
S  0.3634  0.8777  0.4630
S  0.3998  0.0622  0.7270
S  0.4096  0.8508  0.9402
S  0.4222  0.1926  0.2865
S  0.4630  0.3634  0.8777
S  0.4777  0.3345  0.5791
S  0.5039  0.6068  0.0923
S  0.5314  0.6288  0.7788
S  0.5616  0.1225  0.0286
S  0.5648  0.8975  0.2267
S  0.5791  0.4777  0.3345
S  0.6068  0.0923  0.5039
S  0.6288  0.7788  0.5314
S  0.6759  0.9063  0.8106
S  0.7010  0.2152  0.7871
S  0.7270  0.3998  0.0622
S  0.7578  0.1856  0.2723
S  0.7788  0.5314  0.6288
S  0.7871  0.7010  0.2152
S  0.8106  0.6759  0.9063
S  0.8451  0.9524  0.0902
S  0.8508  0.9402  0.4096
S  0.8777  0.4630  0.3634
S  0.8975  0.2267  0.5648
S  0.9063  0.8106  0.6759
S  0.9402  0.4096  0.8508
S  0.9524  0.0902  0.8451

Output
* space-group type: R3, No. 146
* total DFT energy (no corrections): -5.703 eV per atom
* spin magnetization: 0.00 Bohr magnetons per cell


[6]
VASP calculation (GGA-PBE) on a relaxed Nd7GaS5 crystal.

a b c (Å): 4.0578 24.3477 7.0390
angles (deg): 90.00 106.67 90.00
Fractional coordinates of all 26 atoms:
Nd  0.0292  0.2500  0.0580
Nd  0.1365  0.5361  0.2731
Nd  0.1365  0.9639  0.2731
Nd  0.3171  0.1756  0.6343
Nd  0.3171  0.3244  0.6343
Nd  0.4104  0.6092  0.8201
Nd  0.4104  0.8908  0.8201
Nd  0.5896  0.1092  0.1799
Nd  0.5896  0.3908  0.1799
Nd  0.6829  0.6756  0.3657
Nd  0.6829  0.8244  0.3657
Nd  0.8635  0.0361  0.7269
Nd  0.8635  0.4639  0.7269
Nd  0.9708  0.7500  0.9420
Ga  0.3023  0.7500  0.6062
Ga  0.6977  0.2500  0.3938
S  0.0472  0.6416  0.0944
S  0.0472  0.8584  0.0944
S  0.2261  0.0710  0.4524
S  0.2261  0.4290  0.4524
S  0.5000  0.0000  0.0000
S  0.5000  0.5000  0.0000
S  0.7739  0.5710  0.5476
S  0.7739  0.9290  0.5476
S  0.9528  0.1416  0.9056
S  0.9528  0.3584  0.9056

Output
* space-group type: P2_1/m, No. 11
* total DFT energy (no corrections): -6.042 eV per atom
* spin magnetization: 0.00 Bohr magnetons per cell


[7]
VASP calculation (GGA-PBE) on a relaxed Nd3GaS6 crystal.

a b c (Å): 8.8072 8.8072 6.6535
angles (deg): 90.00 90.00 102.38
Fractional coordinates of all 20 atoms:
Nd  0.1010  0.8990  0.5000
Nd  0.2149  0.4154  0.4164
Nd  0.4154  0.2149  0.9164
Nd  0.5846  0.7851  0.4164
Nd  0.7851  0.5846  0.9164
Nd  0.8990  0.1010  0.0000
Ga  0.3020  0.6980  0.8766
Ga  0.6980  0.3020  0.3766
S  0.0740  0.6001  0.7072
S  0.1361  0.1866  0.7079
S  0.1866  0.1361  0.2079
S  0.2832  0.7168  0.2191
S  0.3999  0.9260  0.7072
S  0.4592  0.5408  0.7382
S  0.5408  0.4592  0.2382
S  0.6001  0.0740  0.2072
S  0.7168  0.2832  0.7191
S  0.8134  0.8639  0.7079
S  0.8639  0.8134  0.2079
S  0.9260  0.3999  0.2072

Output
* space-group type: Cmc2_1, No. 36
* total DFT energy (no corrections): -5.943 eV per atom
* spin magnetization: 0.00 Bohr magnetons per cell


[8]
VASP calculation (GGA-PBE) on a relaxed Nd6GaS5 crystal.

a b c (Å): 7.1281 7.1281 7.1301
angles (deg): 99.58 99.58 119.80
Fractional coordinates of all 12 atoms:
Nd  0.0810  0.4165  0.7485
Nd  0.2479  0.2479  0.2498
Nd  0.4165  0.0810  0.7485
Nd  0.5835  0.9190  0.2515
Nd  0.7521  0.7521  0.7502
Nd  0.9190  0.5835  0.2515
Ga  0.5000  0.5000  0.0000
S  0.0000  0.0000  0.5000
S  0.1668  0.8332  0.0000
S  0.3345  0.6655  0.5000
S  0.6655  0.3345  0.5000
S  0.8332  0.1668  0.0000

Output
* space-group type: C2/m, No. 12
* total DFT energy (no corrections): -6.145 eV per atom
* spin magnetization: 0.00 Bohr magnetons per cell


[9]
VASP calculation (GGA-PBE) on a relaxed NdGa2S4 crystal.

a b c (Å): 7.4829 7.4829 6.2051
angles (deg): 90.00 90.00 90.00
Fractional coordinates of all 14 atoms:
Nd  0.0000  0.0000  0.0000
Nd  0.5000  0.5000  0.5000
Ga  0.0000  0.5000  0.2500
Ga  0.0000  0.5000  0.7500
Ga  0.5000  0.0000  0.2500
Ga  0.5000  0.0000  0.7500
S  0.1622  0.6727  0.5000
S  0.1727  0.3378  0.0000
S  0.3273  0.1622  0.5000
S  0.3378  0.8273  0.0000
S  0.6622  0.1727  0.0000
S  0.6727  0.8378  0.5000
S  0.8273  0.6622  0.0000
S  0.8378  0.3273  0.5000

Output
* space-group type: I4/m, No. 87
* total DFT energy (no corrections): -4.743 eV per atom
* spin magnetization: 0.00 Bohr magnetons per cell


[10]
VASP calculation (GGA-PBE) on a relaxed NdGaS3 crystal.

a b c (Å): 8.5863 8.5863 7.0484
angles (deg): 102.36 102.36 81.24
Fractional coordinates of all 20 atoms:
Nd  0.0995  0.9005  0.7500
Nd  0.3272  0.6728  0.2500
Nd  0.6728  0.3272  0.7500
Nd  0.9005  0.0995  0.2500
Ga  0.1996  0.3872  0.7526
Ga  0.3872  0.1996  0.2526
Ga  0.6128  0.8004  0.7474
Ga  0.8004  0.6128  0.2474
S  0.0037  0.2196  0.6541
S  0.0947  0.6287  0.8938
S  0.2196  0.0037  0.1541
S  0.3331  0.4154  0.5070
S  0.3713  0.9053  0.6062
S  0.4154  0.3331  0.0070
S  0.5846  0.6669  0.9930
S  0.6287  0.0947  0.3938
S  0.6669  0.5846  0.4930
S  0.7804  0.9963  0.8459
S  0.9053  0.3713  0.1062
S  0.9963  0.7804  0.3459

Output
* space-group type: C2/c, No. 15
* total DFT energy (no corrections): -5.377 eV per atom
* spin magnetization: 0.00 Bohr magnetons per cell


[11]
VASP calculation (GGA-PBE) on a relaxed Nd8GaS6 crystal.

a b c (Å): 10.5702 10.5702 4.1036
angles (deg): 90.00 90.00 120.00
Fractional coordinates of all 15 atoms:
Nd  0.0342  0.3327  0.2516
Nd  0.2985  0.9658  0.2516
Nd  0.3327  0.2985  0.7484
Nd  0.3333  0.6667  0.7499
Nd  0.6667  0.3333  0.2501
Nd  0.6673  0.7015  0.2516
Nd  0.7015  0.0342  0.7484
Nd  0.9658  0.6673  0.7484
Ga  0.0000  0.0000  0.5000
S  0.1355  0.6519  0.2505
S  0.3481  0.4836  0.2505
S  0.4836  0.1355  0.7495
S  0.5164  0.8645  0.2505
S  0.6519  0.5164  0.7495
S  0.8645  0.3481  0.7495

Output
* space-group type: P-3, No. 147
* total DFT energy (no corrections): -5.908 eV per atom
* spin magnetization: 0.00 Bohr magnetons per cell


[12]
VASP calculation (GGA-PBE) on a relaxed Nd4GaS3 crystal.

a b c (Å): 5.8424 5.8424 5.8424
angles (deg): 90.00 90.00 90.00
Fractional coordinates of all 8 atoms:
Nd  0.0000  0.0000  0.0000
Nd  0.0000  0.5000  0.5000
Nd  0.5000  0.0000  0.5000
Nd  0.5000  0.5000  0.0000
Ga  0.5000  0.5000  0.5000
S  0.0000  0.0000  0.5000
S  0.0000  0.5000  0.0000
S  0.5000  0.0000  0.0000

Output
* space-group type: Pm-3m, No. 221
* total DFT energy (no corrections): -6.002 eV per atom
* spin magnetization: 0.00 Bohr magnetons per cell